Density functional theory data (PBE-GGA) for an optimized crystal structure of TbTmPt2.

Geometry as POSCAR:
```
TbTmPt2
1.0
3.759 0.000 0.000
0.000 4.450 0.000
-1.887 0.000 5.265
Tb Tm Pt
1 1 2
Cartesian
0.000 0.000 0.000
1.875 2.225 2.355
-0.005 0.000 2.871
-0.007 2.225 4.728
```

Properties
ΔH_f (0 K) ... -1.294 eV/atom
N(E_F) ... 0.704 states/eV/atom
Offset from the most stable computed form ... 0.000 eV per atom

=====

Density functional theory data (PBE-GGA) for an optimized crystal structure of K2As2Au.

Geometry as POSCAR:
```
K2As2Au
1.0
4.915 0.000 0.000
0.000 2.242 6.514
0.000 -2.242 6.514
K As Au
2 2 1
Cartesian
0.000 0.000 0.000
0.000 0.000 3.159
2.458 0.000 8.180
2.458 0.000 10.633
2.458 0.000 5.491
```

Properties
ΔH_f (0 K) ... -0.281 eV/atom
N(E_F) ... 0.535 states/eV/atom

=====

Density functional theory data (PBE-GGA) for an optimized crystal structure of NaSm2AlO5.

Geometry as POSCAR:
```
NaSm2AlO5
1.0
6.603 0.000 0.000
0.000 6.603 0.000
0.000 0.000 5.655
Na Sm Al O
2 4 2 10
Cartesian
0.000 0.000 0.000
3.301 3.301 0.000
1.181 2.121 2.828
2.121 5.422 2.828
4.482 1.181 2.828
5.422 4.482 2.828
0.000 3.301 0.000
3.301 0.000 0.000
0.000 0.000 2.828
0.883 4.184 1.318
0.883 4.184 4.337
2.419 0.883 1.318
2.419 0.883 4.337
3.301 3.301 2.828
4.184 5.720 1.318
4.184 5.720 4.337
5.720 2.419 1.318
5.720 2.419 4.337
```

Properties
Formation energy (no corrections) ... -271.3 kJ per mole of atoms
N(E_F) ... 0.000 states/eV/atom

=====

Density functional theory data (PBE-GGA) for an optimized crystal structure of Tb2UAg2S6.

Geometry as POSCAR:
```
Tb2UAg2S6
1.0
3.496 -6.107 0.000
3.496 6.107 0.000
-0.946 0.000 6.464
Tb U Ag S
2 1 2 6
Cartesian
3.496 4.093 0.000
3.496 -4.093 0.000
3.496 0.000 0.000
3.023 1.499 3.232
3.023 -1.499 3.232
1.404 2.026 5.038
1.234 0.000 1.443
1.404 -2.026 5.038
4.643 2.026 1.427
4.813 0.000 5.021
4.643 -2.026 1.427
```

Properties
Formation energy (no corrections) ... -126.5 kJ per mole of atoms
N(E_F) ... 0.522 states/eV/atom

=====

Density functional theory data (PBE-GGA) for an optimized crystal structure of YMg3Ge.

Geometry as POSCAR:
```
YMg3Ge
1.0
5.102 0.000 0.000
0.000 5.102 0.000
0.000 0.000 5.102
Y Mg Ge
1 3 1
Cartesian
0.000 0.000 0.000
0.000 2.551 2.551
2.551 0.000 2.551
2.551 2.551 0.000
2.551 2.551 2.551
```

Properties
ΔH_f (0 K) ... 0.225 eV/atom
N(E_F) ... 0.506 states/eV/atom
Offset from the most stable computed form ... 0.000 eV per atom

=====

Density functional theory data (PBE-GGA) for an optimized crystal structure of LaEr2Pb2.

Geometry as POSCAR:
```
LaEr2Pb2
1.0
3.363 -3.365 0.000
3.363 3.365 0.000
-3.338 0.000 7.032
La Er Pb
1 2 2
Cartesian
0.000 0.000 0.000
1.694 1.682 3.516
1.694 -1.682 3.516
0.008 0.000 5.545
3.380 0.000 1.488
```

Properties
ΔH_f (0 K) ... -0.357 eV/atom
N(E_F) ... 1.135 states/eV/atom

=====

Density functional theory data (PBE-GGA) for an optimized crystal structure of Ca8GaPd2.

Geometry as POSCAR:
```
Ca8GaPd2
1.0
4.545 -6.727 0.000
4.545 6.727 0.000
-1.508 0.000 5.613
Ca Ga Pd
8 1 2
Cartesian
0.000 0.000 0.000
0.654 1.761 3.424
3.091 3.168 1.076
0.654 -1.761 3.424
3.982 1.761 4.385
3.091 -3.168 1.076
3.982 -1.761 4.385
6.164 0.000 2.145
3.184 0.000 0.754
2.315 4.237 3.871
2.315 -4.237 3.871
```

Properties
ΔH_f (0 K) ... -0.346 eV/atom
N(E_F) ... 0.754 states/eV/atom

=====

Density functional theory data (PBE-GGA) for an optimized crystal structure of La2PbW.

Geometry as POSCAR:
```
La2PbW
1.0
1.803 1.041 10.307
-1.803 1.041 10.307
0.000 -2.082 10.307
La Pb W
2 1 1
Cartesian
0.000 0.000 7.337
0.000 0.000 23.585
0.000 0.000 0.000
0.000 0.000 15.461
```

Properties
ΔH_f (0 K) ... 0.450 eV/atom
N(E_F) ... 1.508 states/eV/atom